Pm4ErPu3S8 after structural relaxation. Source: Alexandria via LeMat-Bulk, functional PBE.

abc: 7.942 7.984 7.943
angles: 119.83 120.00 90.00
Positions (direct):
1 Pm 0.500 0.000 0.000
2 Pm 0.500 0.000 0.500
3 Pm 0.000 0.000 0.000
4 Pm 0.000 0.000 0.500
5 Er 0.000 0.500 0.000
6 Pu 0.500 0.500 0.000
7 Pu 0.500 0.500 0.500
8 Pu 0.000 0.500 0.500
9 S 0.245 0.740 0.995
10 S 0.245 0.740 0.490
11 S 0.253 0.258 0.506
12 S 0.750 0.740 0.995
13 S 0.250 0.260 0.005
14 S 0.747 0.742 0.494
15 S 0.755 0.260 0.510
16 S 0.755 0.260 0.005

Formation energy from raw total energies ... -44.8 kcal/mol of atoms

TaRe2Au after structural relaxation. Source: Alexandria via LeMat-Bulk, functional PBE.

abc: 4.893 4.893 4.893
angles: 131.48 131.48 71.05
Positions (direct):
1 Au 0.750 0.250 0.500
2 Re 0.000 0.000 0.000
3 Re 0.250 0.750 0.500
4 Ta 0.500 0.500 0.000

Relative energy among the computed polymorphs ... 0.11 eV/f.u.
Energy of formation from the pure elements ... 0.097 eV/atom

Record order is preserved below.
Calculated volume: 357.07, 64.37 Å³/cell
Record order is preserved below.
N(E_F): 24.35, 2.71 states/eV/f.u.